1.
Below is NiP2Br after structural relaxation, with properties calculated at the GGA-PBEsol level.

Calculated values
- Total magnetic moment: 0.00 μB per cell
- SG: Cmmm, No. 65
- E_form (uncorrected): -0.028 eV per atom
- V: 64 Å³/cell

Lattice parameters (Å, degrees): 4.3570 3.7085 4.7080 90.00 122.78 90.00
Last column: nearest neighbours and their distance in Å.
Element x y z (fractional)
1 Br 0.5000 0.5000 0.0000  2 Ni 2.35
2 Ni 0.5000 0.5000 0.5000  4 P 2.27, 2 Br 2.35
3 P 0.8566 0.0000 0.6784  2 Ni 2.27
4 P 0.1434 0.0000 0.3216  2 Ni 2.27

***

2.
Below is NiPBr4 after structural relaxation, with properties calculated at the GGA-PBEsol level.

Calculated values
- Total magnetic moment: 2.02 μB per cell
- SG: F-43m, No. 216
- E_form (uncorrected): 1.408 eV per atom
- V: 144 Å³/cell

Lattice parameters (Å, degrees): 5.8812 5.8812 5.8812 60.00 60.00 60.00
Last column: nearest neighbours and their distance in Å.
Element x y z (fractional)
1 Br 0.3754 0.3754 0.3754  6 Br 2.93-2.95
2 Br 0.3754 0.3754 0.8739  6 Br 2.93-2.95
3 Br 0.8739 0.3754 0.3754  6 Br 2.93-2.95
4 Br 0.3754 0.8739 0.3754  6 Br 2.93-2.95
5 Ni 0.7500 0.7500 0.7500  12 Br 3.45, 4 P 3.60
6 P 0.0000 0.0000 0.0000  12 Br 3.45, 4 Ni 3.60

***

3.
Below is NiPBr2 after structural relaxation, with properties calculated at the GGA-PBEsol level.

Calculated values
- Total magnetic moment: 0.00 μB per cell
- SG: I-42d, No. 122
- E_form (uncorrected): 0.526 eV per atom
- V: 152 Å³/cell

Lattice parameters (Å, degrees): 5.8271 5.8271 5.8271 111.68 108.38 108.38
Last column: nearest neighbours and their distance in Å.
Element x y z (fractional)
1 Ni 0.0000 0.0000 0.0000  4 Br 2.38
2 Ni 0.5000 0.7500 0.2500  4 Br 2.38
3 Br 0.0388 0.6638 0.1250  2 Ni 2.38
4 Br 0.9612 0.0862 0.6250  2 Ni 2.38
5 Br 0.4612 0.3750 0.3362  2 Ni 2.38
6 Br 0.5388 0.8750 0.9138  2 Ni 2.38
7 P 0.0000 0.5000 0.5000  4 Br 2.73
8 P 0.5000 0.2500 0.7500  4 Br 2.73

***

4.
Below is NiPBr after structural relaxation, with properties calculated at the GGA-PBEsol level.

Calculated values
- Total magnetic moment: 0.00 μB per cell
- SG: F-43m, No. 216
- E_form (uncorrected): 1.174 eV per atom
- V: 55 Å³/cell

Lattice parameters (Å, degrees): 4.2687 4.2687 4.2687 60.00 60.00 60.00
Last column: nearest neighbours and their distance in Å.
Element x y z (fractional)
1 Br 0.2500 0.2500 0.2500  4 Ni 2.61, 4 P 2.61
2 Ni 0.0000 0.0000 0.0000  4 Br 2.61
3 P 0.5000 0.5000 0.5000  4 Br 2.61

***

Q: Among the records above, which one has the highest E_form (uncorrected)?
A: NiPBr4

***

Q: Which value of E_form (uncorrected) does entry 2 give?
A: 1.408 eV per atom

***

Q: Which value of V does entry 4 give?
A: 55 Å³/cell

***

Repeat the first record exactly.
Below is NiP2Br after structural relaxation, with properties calculated at the GGA-PBEsol level.

Calculated values
- Total magnetic moment: 0.00 μB per cell
- SG: Cmmm, No. 65
- E_form (uncorrected): -0.028 eV per atom
- V: 64 Å³/cell

Lattice parameters (Å, degrees): 4.3570 3.7085 4.7080 90.00 122.78 90.00
Last column: nearest neighbours and their distance in Å.
Element x y z (fractional)
1 Br 0.5000 0.5000 0.0000  2 Ni 2.35
2 Ni 0.5000 0.5000 0.5000  4 P 2.27, 2 Br 2.35
3 P 0.8566 0.0000 0.6784  2 Ni 2.27
4 P 0.1434 0.0000 0.3216  2 Ni 2.27